(1)
TbMg4Cu: optimized geometry, PBEsol.

Output
Symmetry: Cmmm (65)
Formation energy (eV/atom): -0.110
Calculated volume (Å³/atom): 21.59
VASP energy (eV for the cell shown): -67.500
Total magnetization (μB per formula unit): 0.00

Cell lengths 3.857, 12.056, 12.056 Å; angles 112.44, 90.00, 90.00 degrees
Atoms (fractional coordinates):
Mg 0.000 0.164 0.836
Mg 0.000 0.836 0.164
Mg 0.000 0.000 0.000
Mg 0.500 0.054 0.212
Mg 0.000 0.414 0.076
Mg 0.500 0.212 0.054
Mg 0.000 0.586 0.924
Mg 0.000 0.076 0.414
Mg 0.500 0.374 0.861
Mg 0.500 0.139 0.626
Mg 0.500 0.626 0.139
Mg 0.500 0.946 0.788
Mg 0.500 0.788 0.946
Mg 0.000 0.924 0.586
Mg 0.500 0.500 0.500
Mg 0.500 0.861 0.374
Tb 0.000 0.695 0.695
Tb 0.000 0.305 0.305
Tb 0.000 0.370 0.630
Tb 0.000 0.630 0.370
Cu 0.500 0.762 0.553
Cu 0.500 0.553 0.762
Cu 0.500 0.238 0.447
Cu 0.500 0.447 0.238

***

(2)
Zr2ZnIr: optimized geometry, PBEsol.

Output
Symmetry: Amm2 (38)
Formation energy (eV/atom): -0.565
Calculated volume (Å³/atom): 18.11
VASP energy (eV for the cell shown): -31.843
Total magnetization (μB per formula unit): 0.00

Cell lengths 3.391, 4.185, 5.380 Å; angles 90.00, 108.37, 90.00 degrees
Atoms (fractional coordinates):
Zr 0.268 0.500 0.536
Zr 0.979 0.000 0.958
Zn 0.545 0.500 0.090
Ir 0.710 0.000 0.420

***

(3)
La3In: optimized geometry, PBEsol.

Output
Symmetry: C2/m (12)
Formation energy (eV/atom): -0.266
Calculated volume (Å³/atom): 30.51
VASP energy (eV for the cell shown): -20.088
Total magnetization (μB per formula unit): 0.00

Cell lengths 3.595, 5.952, 6.054 Å; angles 98.98, 107.27, 90.00 degrees
Atoms (fractional coordinates):
La 0.737 0.227 0.475
La 0.500 0.500 0.000
La 0.263 0.773 0.525
In 0.000 0.000 0.000

***

(4)
SrTlAg: optimized geometry, PBEsol.

Output
Symmetry: P-6m2 (187)
Formation energy (eV/atom): -0.322
Calculated volume (Å³/atom): 27.27
VASP energy (eV for the cell shown): -8.749
Total magnetization (μB per formula unit): 0.00

Cell lengths 3.890, 4.928, 4.928 Å; angles 120.00, 90.00, 90.00 degrees
Atoms (fractional coordinates):
Tl 0.500 0.667 0.333
Sr 0.000 0.333 0.667
Ag 0.500 0.000 0.000

***

(5)
ReSb2Rh: optimized geometry, PBEsol.

Output
Symmetry: C2/m (12)
Calculated volume (Å³/atom): 17.71
VASP energy (eV for the cell shown): -29.518
E_form (uncorrected) (meV/atom): 267
Total magnetization (μB per formula unit): 0.00

Cell lengths 3.177, 4.504, 5.429 Å; angles 102.16, 90.00, 110.65 degrees
Atoms (fractional coordinates):
Re 0.500 0.000 0.000
Rh 0.000 0.000 0.500
Sb 0.249 0.498 0.245
Sb 0.751 0.502 0.755

***

(6)
ZrOsW: optimized geometry, PBEsol.

Output
Symmetry: P3m1 (156)
Formation energy (eV/atom): 0.047
Calculated volume (Å³/atom): 16.46
VASP energy (eV for the cell shown): -34.973
Total magnetization (μB per formula unit): 0.00

Cell lengths 2.842, 4.479, 4.479 Å; angles 120.00, 90.00, 90.00 degrees
Atoms (fractional coordinates):
W 0.683 0.667 0.333
Zr 0.332 0.333 0.667
Os 0.985 0.000 0.000

***

(7)
AlFeCu2: optimized geometry, PBEsol.

Output
Symmetry: I-4m2 (119)
Formation energy (eV/atom): -0.039
Calculated volume (Å³/atom): 11.73
VASP energy (eV for the cell shown): -21.878
Total magnetization (μB per formula unit): 1.66

Cell lengths 3.664, 3.664, 4.350 Å; angles 114.91, 114.91, 90.00 degrees
Each line ends with the local moment (μB).
Atoms (fractional coordinates):
Fe 0.500 0.500 0.000  1.70
Cu 0.750 0.250 0.500  0.04
Cu 0.000 0.000 0.000  0.00
Al 0.250 0.750 0.500  -0.03

***

(8)
KWO2: optimized geometry, PBEsol.

Output
Symmetry: R-3m (166)
Calculated volume (Å³/atom): 16.18
VASP energy (eV for the cell shown): -29.553
E_form (uncorrected) (meV/atom): -1028
Total magnetization (μB per formula unit): 1.02

Cell lengths 3.450, 3.450, 6.586 Å; angles 74.82, 74.82, 60.00 degrees
Each line ends with the local moment (μB).
Atoms (fractional coordinates):
W 0.500 0.500 0.500  0.92
O 0.134 0.134 0.597  -0.02
O 0.866 0.866 0.403  -0.02
K 0.000 0.000 0.000  -0.01

***

(9)
NaCaAg2C: optimized geometry, PBEsol.

Output
Symmetry: P4/mmm (123)
Formation energy (eV/atom): 1.386
Calculated volume (Å³/atom): 28.27
VASP energy (eV for the cell shown): -12.871
Total magnetization (μB per formula unit): 1.94

Cell lengths 4.657, 5.510, 5.510 Å; angles 90.00, 90.00, 90.00 degrees
Each line ends with the local moment (μB).
Atoms (fractional coordinates):
Ag 0.000 0.500 0.000  0.02
Ag 0.000 0.000 0.500  0.02
Ca 0.000 0.000 0.000  0.12
Na 0.500 0.500 0.500  0.00
C 0.500 0.000 0.000  0.82

***

(10)
KBe2Cu: optimized geometry, PBEsol.

Output
Symmetry: P4/mmm (123)
Formation energy (eV/atom): 1.295
Calculated volume (Å³/atom): 17.31
VASP energy (eV for the cell shown): -8.289
Total magnetization (μB per formula unit): 0.00

Cell lengths 3.867, 3.867, 4.631 Å; angles 90.00, 90.00, 90.00 degrees
Atoms (fractional coordinates):
Be 0.000 0.500 0.000
Be 0.500 0.000 0.000
K 0.000 0.000 0.500
Cu 0.500 0.500 0.500

***

(11)
AlSb2Te: optimized geometry, PBEsol.

Output
Symmetry: R-3m (166)
Calculated volume (Å³/atom): 25.47
VASP energy (eV for the cell shown): -16.039
E_form (uncorrected) (meV/atom): 173
Total magnetization (μB per formula unit): 0.00

Cell lengths 3.252, 3.252, 11.279 Å; angles 81.71, 81.71, 60.00 degrees
Atoms (fractional coordinates):
Al 0.000 0.000 0.000
Sb 0.734 0.734 0.798
Sb 0.266 0.266 0.202
Te 0.500 0.500 0.500

***

(12)
MoPO5: optimized geometry, PBEsol.

Output
Symmetry: Fddd (70)
Calculated volume (Å³/atom): 12.42
VASP energy (eV for the cell shown): -231.267
E_form (uncorrected) (meV/atom): -2002
Total magnetization (μB per formula unit): 0.55

Cell lengths 6.962, 6.962, 8.939 Å; angles 101.52, 101.52, 119.16 degrees
Each line ends with the local moment (μB).
Atoms (fractional coordinates):
Mo 0.380 0.130 0.250  0.49
Mo 0.380 0.130 0.750  0.49
Mo 0.380 0.631 0.250  0.49
Mo 0.881 0.130 0.750  0.49
O 0.756 0.786 0.679  0.00
O 0.120 0.911 0.541  0.01
O 0.653 0.184 0.179  0.00
O 0.170 0.170 0.829  -0.02
O 0.036 0.506 0.179  0.00
O 0.600 0.391 0.459  0.01
O 0.341 0.341 0.171  -0.02
O 0.107 0.077 0.321  0.00
O 0.420 0.920 0.329  -0.02
O 0.641 0.350 0.959  0.01
O 0.327 0.857 0.821  0.00
O 0.370 0.579 0.459  0.01
O 0.932 0.141 0.541  0.01
O 0.434 0.403 0.679  0.00
O 0.724 0.755 0.321  0.00
O 0.591 0.091 0.671  -0.02
O 0.161 0.870 0.041  0.01
O 0.005 0.474 0.821  0.00
O 0.391 0.682 0.041  0.01
O 0.829 0.120 0.959  0.01
P 0.791 0.291 0.071  0.01
P 0.541 0.541 0.571  0.01
P 0.970 0.970 0.429  0.01
P 0.220 0.720 0.929  0.01